[1]
The following is a DFT calculation (PBE) of an optimized crystal structure of Pm5Y2Th2.

Cell and atoms, written as POSCAR:
```
Pm5Y2Th2
1.0
3.4362 0.0000 -0.7087
-0.4543 7.8323 -2.2027
0.8498 -2.5395 12.8042
Pm Y Th
5 2 2
Direct
0.6949 0.8278 0.3898
0.3051 0.1722 0.6102
0.9104 0.5561 0.8208
0.0896 0.4439 0.1792
0.0000 0.0000 0.0000
0.8371 0.8485 0.6741
0.1629 0.1515 0.3259
0.5524 0.7397 0.1047
0.4476 0.2603 0.8953
```

Computed properties:
energy relative to the elements	246	kJ/mol of formula units
DOS(E_F)	14.3	states/eV/cell
VASP energy	-5.441	eV per atom

=====

[2]
The following is a DFT calculation (PBE) of an optimized crystal structure of TbAlZn2.

Cell and atoms, written as POSCAR:
```
TbAlZn2
1.0
-2.1072 3.4760 2.4303
-0.7391 -0.4755 4.6537
2.5016 2.5947 3.0722
Zn Tb Al
2 1 1
Direct
0.2500 0.2500 0.2500
0.7500 0.7500 0.7500
0.5000 0.5000 0.5000
0.0000 0.0000 0.0000
```

Computed properties:
energy relative to the elements	-114	kJ/mol of formula units
DOS(E_F)	2.1	states/eV/cell
VASP energy	-3.025	eV per atom

=====

Q: DOS(E_F) of number 2 (TbAlZn2)?
A: 2.1 states/eV/cell